Entry 1:
{"formula": "Ce4GaPS2", "functional": "GGA-PBE", "state": "relaxed", "lattice_angstrom": [[-0.0384, 0.6694, 4.0311], [0.6647, -6.9716, 1.1640], [6.9480, -1.6888, 0.3466]], "species": ["P", "Ce", "Ce", "Ga", "Ce", "S", "S", "Ce"], "frac_coords": [[0.0000, 0.5000, 0.5000], [0.5000, 0.7532, 0.2562], [0.5000, 0.2468, 0.7438], [0.5000, 0.5000, 0.0000], [0.0000, 0.7606, 0.7384], [0.5000, 0.0000, 0.5000], [0.0000, 0.0000, 0.0000], [0.0000, 0.2394, 0.2616]], "spacegroup": "P2/m (10)", "formation_energy_uncorrected_mev_per_atom": -1440.8, "m_tot_mub_per_fu": 2.64, "energy_ev_per_cell": -51.95}

=====

Entry 2:
{"formula": "Sr4Ce3GaP8", "functional": "GGA-PBE", "state": "relaxed", "lattice_angstrom": [[8.2711, 0.0000, 0.0000], [0.0000, 8.4417, 0.0573], [-4.1356, -4.1703, 5.9478]], "species": ["Sr", "Ce", "Sr", "P", "Sr", "P", "Sr", "P", "P", "Ce", "Ce", "P", "Ga", "P", "P", "P"], "frac_coords": [[0.5000, 0.0000, 0.0000], [0.5000, 0.5000, 0.0000], [0.5000, 0.0000, 0.5000], [0.7500, 0.7115, 0.9797], [0.0000, 0.0000, 0.5000], [0.2612, 0.2812, 0.5224], [0.0000, 0.0000, 0.0000], [0.2500, 0.2885, 0.0203], [0.7553, 0.2770, 0.5106], [0.5000, 0.5000, 0.5000], [0.0000, 0.5000, 0.5000], [0.2447, 0.7230, 0.4894], [0.0000, 0.5000, 0.0000], [0.2298, 0.7115, 0.9797], [0.7702, 0.2885, 0.0203], [0.7388, 0.7188, 0.4776]], "spacegroup": "C2/m (12)", "m_tot_mub_per_fu": 0.00, "formation_energy_mev_per_atom": -978, "energy_ev_per_cell": -86.48}

=====

Entry 3:
{"formula": "CeGa2Tc2P", "functional": "GGA-PBE", "state": "relaxed", "lattice_angstrom": [[-3.2256, 0.1580, 3.0672], [-1.3831, -4.0461, -1.2462], [3.4658, -2.3445, 3.7656]], "species": ["Ga", "Ce", "P", "Ga", "Tc", "Tc"], "frac_coords": [[0.5000, 0.5000, 0.2724], [0.0000, 0.0000, 0.5000], [0.0000, 0.0000, 0.0000], [0.5000, 0.5000, 0.7276], [0.0000, 0.5000, 0.0000], [0.5000, 0.0000, 0.0000]], "spacegroup": "P4/mmm (123)", "m_tot_mub_per_fu": 0.75, "formation_energy_mev_per_atom": -477, "energy_ev_per_cell": -40.99}

=====

Entry 4:
{"formula": "Ce2PaGa", "functional": "GGA-PBE", "state": "relaxed", "lattice_angstrom": [[5.1691, 0.0000, 0.0000], [2.5845, 4.4766, 0.0000], [2.5845, 1.4922, 4.2205]], "species": ["Ce", "Pa", "Ce", "Ga"], "frac_coords": [[0.2500, 0.2500, 0.2500], [0.0000, 0.0000, 0.0000], [0.7500, 0.7500, 0.7500], [0.5000, 0.5000, 0.5000]], "polymorph_energy_ev_per_atom": 0.1969, "spacegroup": "Fm-3m (225)", "m_tot_mub_per_fu": 3.10, "formation_energy_mev_per_atom": 27, "energy_ev_per_cell": -24.28}

=====

Entry 5:
{"formula": "CePa2Ga", "functional": "GGA-PBE", "state": "relaxed", "lattice_angstrom": [[4.6458, 0.0000, 0.0000], [0.0000, 4.4869, 0.0000], [0.0000, 0.0000, 4.4869]], "species": ["Pa", "Pa", "Ga", "Ce"], "frac_coords": [[0.0000, 0.0000, 0.5000], [0.0000, 0.5000, 0.0000], [0.5000, 0.0000, 0.0000], [0.5000, 0.5000, 0.5000]], "polymorph_energy_ev_per_atom": 0.0000, "spacegroup": "P4/mmm (123)", "m_tot_mub_per_fu": 0.00, "formation_energy_mev_per_atom": -127, "energy_ev_per_cell": -28.46}

=====

Entry 6:
{"formula": "Ce2PaGa4", "functional": "GGA-PBE", "state": "relaxed", "lattice_angstrom": [[-0.0687, 0.0720, -5.7184], [-4.0181, -4.0678, -0.0030], [-2.1851, 6.1768, 0.1041]], "species": ["Ga", "Ce", "Ga", "Ce", "Ga", "Ga", "Pa"], "frac_coords": [[0.5000, 0.3986, 0.7971], [0.5000, 0.8472, 0.6945], [0.5000, 0.6014, 0.2029], [0.5000, 0.1528, 0.3055], [0.0000, 0.8933, 0.7867], [0.0000, 0.1067, 0.2133], [0.0000, 0.5000, 0.0000]], "spacegroup": "Cmmm (65)", "m_tot_mub_per_fu": 1.78, "formation_energy_mev_per_atom": 131, "energy_ev_per_cell": -32.55}